[1]
{"formula": "CsGaO2F", "functional": "GGA-PBE", "state": "relaxed", "dft_energy_ev_per_atom": -3.22, "e_form_raw_ev_per_atom": -0.083, "dos_ef_per_ev_atom": 0.4561, "lattice_angstrom": [[-1.825, -2.987, 2.583], [3.942, -1.215, 1.380], [-0.286, 3.707, 4.083]], "species": ["O", "O", "Cs", "F", "Ga"], "frac_coords": [[0.500, 0.000, 0.000], [0.000, 0.500, 0.000], [0.000, 0.000, 0.000], [0.000, 0.000, 0.500], [0.500, 0.500, 0.500]]}

---

[2]
{"formula": "Cs2Ga3PbF12", "functional": "GGA-PBE", "state": "relaxed", "dft_energy_ev_per_atom": -4.63, "e_form_raw_ev_per_atom": -2.573, "dos_ef_per_ev_atom": 0.0791, "lattice_angstrom": [[7.673, 0.033, 0.024], [3.818, 6.656, 0.024], [3.818, 2.223, 6.274]], "species": ["F", "F", "F", "F", "F", "F", "F", "F", "F", "F", "F", "F", "Cs", "Cs", "Ga", "Ga", "Ga", "Pb"], "frac_coords": [[0.291, 0.291, 0.912], [0.601, 0.105, 0.105], [0.399, 0.895, 0.895], [0.895, 0.895, 0.399], [0.088, 0.709, 0.709], [0.709, 0.088, 0.709], [0.105, 0.105, 0.601], [0.105, 0.601, 0.105], [0.895, 0.399, 0.895], [0.291, 0.912, 0.291], [0.912, 0.291, 0.291], [0.709, 0.709, 0.088], [0.384, 0.384, 0.384], [0.616, 0.616, 0.616], [0.000, 0.000, 0.500], [0.500, 0.000, 0.000], [0.000, 0.500, 0.000], [0.000, 0.000, 0.000]]}

---

[3]
{"formula": "CsGa2PbF8", "functional": "GGA-PBE", "state": "relaxed", "dft_energy_ev_per_atom": -4.52, "e_form_raw_ev_per_atom": -2.392, "dos_ef_per_ev_atom": 0.4353, "lattice_angstrom": [[-0.389, -2.891, 5.198], [0.921, -5.885, 0.213], [7.988, -1.657, 3.095]], "species": ["F", "F", "F", "F", "F", "F", "F", "F", "Pb", "Ga", "Ga", "Cs"], "frac_coords": [[0.975, 0.568, 0.179], [0.568, 0.277, 0.179], [0.723, 0.025, 0.821], [0.432, 0.723, 0.821], [0.277, 0.975, 0.179], [0.174, 0.174, 0.479], [0.826, 0.826, 0.521], [0.025, 0.432, 0.821], [0.000, 0.000, 0.000], [0.250, 0.250, 0.251], [0.750, 0.750, 0.749], [0.500, 0.500, 0.500]]}

---

[4]
{"formula": "CsGaPdF6", "functional": "GGA-PBE", "state": "relaxed", "dft_energy_ev_per_atom": -4.47, "e_form_raw_ev_per_atom": -2.213, "lattice_angstrom": [[-1.994, 4.523, 2.627], [-3.669, 3.341, -2.589], [-4.862, -3.513, 2.348]], "species": ["F", "F", "F", "F", "F", "F", "Cs", "Ga", "Pd"], "frac_coords": [[0.604, 0.038, 0.329], [0.037, 0.358, 0.329], [0.606, 0.357, 0.671], [0.358, 0.037, 0.671], [0.357, 0.606, 0.329], [0.038, 0.604, 0.671], [0.000, 0.000, 0.000], [0.333, 0.333, 0.500], [0.667, 0.667, 0.500]]}

---

[5]
{"formula": "CsRbGa2F", "functional": "GGA-PBE", "state": "relaxed", "dft_energy_ev_per_atom": -2.20, "e_form_raw_ev_per_atom": -0.251, "dos_ef_per_ev_atom": 1.1701, "lattice_angstrom": [[-1.996, 4.751, -4.172], [-0.451, -3.444, -3.707], [-6.296, -1.086, 1.775]], "species": ["F", "Rb", "Ga", "Ga", "Cs"], "frac_coords": [[0.000, 0.500, 0.000], [0.000, 0.000, 0.000], [0.500, 0.000, 0.000], [0.000, 0.000, 0.500], [0.500, 0.500, 0.500]]}

---

[6]
{"formula": "CsGaRhF6", "functional": "GGA-PBE", "state": "relaxed", "dft_energy_ev_per_atom": -4.68, "e_form_raw_ev_per_atom": -2.183, "lattice_angstrom": [[5.498, 0.068, -0.024], [2.808, 4.866, -0.044], [-0.026, -0.044, 6.501]], "species": ["F", "F", "F", "F", "F", "F", "Cs", "Rh", "Ga"], "frac_coords": [[0.595, 0.060, 0.311], [0.362, 0.620, 0.347], [0.022, 0.620, 0.661], [0.596, 0.345, 0.688], [0.021, 0.359, 0.339], [0.362, 0.018, 0.654], [0.023, 0.989, 0.000], [0.675, 0.662, 0.500], [0.344, 0.328, 0.500]]}